(1)
Below is a geometry-optimized Y2Tm3Ni2 structure, with properties calculated at the PBE level.

Cell lengths 3.707, 9.566, 6.153 Å; angles 59.76, 72.49, 89.98 degrees
Sites, in units of the cell vectors:
Tm (0.000, 0.000, 0.000)
Tm (0.814, 0.250, 0.373)
Tm (0.186, 0.750, 0.627)
Y (0.597, 0.388, 0.805)
Y (0.403, 0.612, 0.195)
Ni (0.644, 0.923, 0.710)
Ni (0.356, 0.077, 0.290)

For the formation energy, the calculation gives -1.07 eV per formula unit. The polymorph energy (0 for the lowest one) is 84 kJ/mol of formula units.

(2)
Below is a geometry-optimized Sn7SCl12 structure, with properties calculated at the PBE level.

Cell lengths 10.674, 9.390, 9.390 Å; angles 73.46, 67.74, 112.26 degrees
Sites, in units of the cell vectors:
Cl (0.179, 0.510, 0.851)
Cl (0.669, 0.638, 0.510)
Cl (0.031, 0.851, 0.638)
Cl (0.535, 0.881, 0.292)
Cl (0.654, 0.826, 0.881)
Cl (0.969, 0.149, 0.362)
Cl (0.331, 0.362, 0.490)
Cl (0.828, 0.292, 0.826)
Cl (0.346, 0.174, 0.119)
Cl (0.465, 0.119, 0.708)
Cl (0.821, 0.490, 0.149)
Cl (0.172, 0.708, 0.174)
Sn (0.656, 0.684, 0.224)
Sn (0.880, 0.224, 0.091)
Sn (0.971, 0.091, 0.684)
Sn (0.120, 0.776, 0.909)
Sn (0.344, 0.316, 0.776)
Sn (0.500, 0.000, 0.000)
Sn (0.029, 0.909, 0.316)
S (0.000, 0.000, 0.000)

The formation energy from raw total energies comes out at -0.92 eV/atom.

no.,total energy (eV for the cell shown)
1,-38.974
2,-72.764